Record 1
Here is a relaxed Rb3PaV2Se6 crystal from the Alexandria database. Energies are from PBE.

The structure in CIF format:
```
data_Rb3PaV2Se6
_chemical_formula_sum 'Rb3 Pa1 V2 Se6'
_symmetry_space_group_name_H-M 'P 1'
_symmetry_Int_Tables_number 1
_symmetry_space_group_name_Hall 'P 1'
_cell_length_a 6.921
_cell_length_b 6.921
_cell_length_c 8.294
_cell_angle_alpha 98.01
_cell_angle_beta 98.01
_cell_angle_gamma 119.94
loop_
_atom_site_label
_atom_site_fract_x
_atom_site_fract_y
_atom_site_fract_z
Rb1 0.000 0.000 0.000
Rb2 0.336 0.664 0.000
Rb3 0.664 0.336 0.000
Pa1 0.500 0.500 0.500
V1 0.167 0.833 0.500
V2 0.833 0.167 0.500
Se1 0.088 0.439 0.316
Se2 0.210 0.210 0.683
Se3 0.439 0.088 0.316
Se4 0.561 0.912 0.684
Se5 0.790 0.790 0.317
Se6 0.912 0.561 0.684
```

V = 331 Å³/cell
formation energy (no corrections) = -1.08 eV/atom

---

Record 2
Here is a relaxed CdSbP crystal from the Alexandria database. Energies are from PBE.

The structure in CIF format:
```
data_CdSbP
_chemical_formula_sum 'Cd1 Sb1 P1'
_symmetry_space_group_name_H-M 'P 1'
_symmetry_Int_Tables_number 1
_symmetry_space_group_name_Hall 'P 1'
_cell_length_a 3.867
_cell_length_b 3.867
_cell_length_c 5.500
_cell_angle_alpha 90.00
_cell_angle_beta 90.00
_cell_angle_gamma 120.00
loop_
_atom_site_label
_atom_site_fract_x
_atom_site_fract_y
_atom_site_fract_z
Cd1 0.000 0.000 0.000
Sb1 0.333 0.667 0.406
P1 0.667 0.333 0.685
```

energy relative to the lowest polymorph listed for this composition = 131 meV/atom
V = 71 Å³/cell
formation energy (no corrections) = 0.12 eV/atom

---

Repeat the first record exactly.
Here is a relaxed Rb3PaV2Se6 crystal from the Alexandria database. Energies are from PBE.

The structure in CIF format:
```
data_Rb3PaV2Se6
_chemical_formula_sum 'Rb3 Pa1 V2 Se6'
_symmetry_space_group_name_H-M 'P 1'
_symmetry_Int_Tables_number 1
_symmetry_space_group_name_Hall 'P 1'
_cell_length_a 6.921
_cell_length_b 6.921
_cell_length_c 8.294
_cell_angle_alpha 98.01
_cell_angle_beta 98.01
_cell_angle_gamma 119.94
loop_
_atom_site_label
_atom_site_fract_x
_atom_site_fract_y
_atom_site_fract_z
Rb1 0.000 0.000 0.000
Rb2 0.336 0.664 0.000
Rb3 0.664 0.336 0.000
Pa1 0.500 0.500 0.500
V1 0.167 0.833 0.500
V2 0.833 0.167 0.500
Se1 0.088 0.439 0.316
Se2 0.210 0.210 0.683
Se3 0.439 0.088 0.316
Se4 0.561 0.912 0.684
Se5 0.790 0.790 0.317
Se6 0.912 0.561 0.684
```

V = 331 Å³/cell
formation energy (no corrections) = -1.08 eV/atom